Record 1
A plane-wave DFT calculation with PBE-GGA was carried out for a relaxed structure of CaPr3P2N6.

Computed properties:
The calculation puts the volume at 184 Å³ per cell. Its total energy is -7.4119 eV/atom. As for the uncorrected formation energy: -11.8 eV per formula unit. As for the symmetry: P-3m1, No. 164.

```
CaPr3P2N6
1.0
5.800 0.000 0.000
-2.900 5.023 0.000
0.000 0.000 6.317
Ca Pr P N
1 3 2 6
Direct
0.000 0.000 0.000 Ca
0.000 0.000 0.500 Pr
0.333 0.667 0.149 Pr
0.667 0.333 0.851 Pr
0.333 0.667 0.675 P
0.667 0.333 0.325 P
0.182 0.364 0.779 N
0.182 0.818 0.779 N
0.364 0.182 0.221 N
0.636 0.818 0.779 N
0.818 0.182 0.221 N
0.818 0.636 0.221 N
```

---

Record 2
A plane-wave DFT calculation with PBE-GGA was carried out for a relaxed structure of Ca6P2PtN.

Computed properties:
The calculation puts the volume at 488 Å³ per cell. Its total energy is -4.6376 eV/atom. As for the uncorrected formation energy: -9.2 eV per formula unit. As for the symmetry: P2_1/c, No. 14.

```
Ca6P2PtN
1.0
6.749 0.000 0.000
0.000 7.399 0.000
-6.504 0.000 9.765
Ca P Pt N
12 4 2 2
Direct
0.094 0.053 0.229 Ca
0.094 0.447 0.729 Ca
0.230 0.709 0.068 Ca
0.230 0.791 0.568 Ca
0.361 0.169 0.064 Ca
0.361 0.331 0.564 Ca
0.639 0.669 0.436 Ca
0.639 0.831 0.936 Ca
0.770 0.209 0.432 Ca
0.770 0.291 0.932 Ca
0.906 0.553 0.271 Ca
0.906 0.947 0.771 Ca
0.287 0.092 0.752 P
0.287 0.408 0.252 P
0.713 0.592 0.748 P
0.713 0.908 0.248 P
0.500 0.000 0.500 Pt
0.500 0.500 0.000 Pt
0.000 0.000 0.000 N
0.000 0.500 0.500 N
```

---

Record 3
A plane-wave DFT calculation with PBE-GGA was carried out for a relaxed structure of Ca2Pu4P3N2.

Computed properties:
The calculation puts the volume at 239 Å³ per cell. Its total energy is -9.6092 eV/atom. As for the uncorrected formation energy: -11.5 eV per formula unit. As for the symmetry: I4/mmm, No. 139.

```
Ca2Pu4P3N2
1.0
-2.281 2.281 11.494
2.281 -2.281 11.494
2.281 2.281 -11.494
Ca Pu P N
2 4 3 2
Direct
0.203 0.203 0.000 Ca
0.797 0.797 0.000 Ca
0.083 0.583 0.500 Pu
0.417 0.917 0.500 Pu
0.583 0.083 0.500 Pu
0.917 0.417 0.500 Pu
0.329 0.329 0.000 P
0.500 0.500 0.000 P
0.671 0.671 0.000 P
0.099 0.099 0.000 N
0.901 0.901 0.000 N
```

---

Record 4
A plane-wave DFT calculation with PBE-GGA was carried out for a relaxed structure of CaReP2N.

Computed properties:
The calculation puts the volume at 120 Å³ per cell. Its total energy is -3.3601 eV/atom. As for the uncorrected formation energy: 16.8 eV per formula unit. As for the symmetry: P4/mmm, No. 123.

```
CaReP2N
1.0
4.932 0.000 0.000
0.000 4.932 0.000
0.000 0.000 4.924
Ca Re P N
1 1 2 1
Direct
0.000 0.000 0.000 Ca
0.000 0.000 0.500 Re
0.000 0.500 0.000 P
0.500 0.000 0.000 P
0.500 0.500 0.500 N
```

---

Record 5
A plane-wave DFT calculation with PBE-GGA was carried out for a relaxed structure of Ca2RePN5.

Computed properties:
The calculation puts the volume at 226 Å³ per cell. Its total energy is -7.6400 eV/atom. As for the uncorrected formation energy: -5.3 eV per formula unit. As for the symmetry: Cmc2_1, No. 36.

```
Ca2RePN5
1.0
1.495 -6.908 0.000
1.495 6.908 0.000
0.000 0.000 10.960
Ca Re P N
4 2 2 10
Direct
0.083 0.917 0.500 Ca
0.139 0.861 0.160 Ca
0.861 0.139 0.660 Ca
0.917 0.083 0.000 Ca
0.221 0.779 0.884 Re
0.779 0.221 0.384 Re
0.438 0.562 0.262 P
0.562 0.438 0.762 P
0.047 0.953 0.847 N
0.293 0.707 0.508 N
0.317 0.683 0.255 N
0.347 0.653 0.847 N
0.494 0.506 0.136 N
0.506 0.494 0.636 N
0.653 0.347 0.347 N
0.683 0.317 0.755 N
0.707 0.293 0.008 N
0.953 0.047 0.347 N
```

---

Record 6
A plane-wave DFT calculation with PBE-GGA was carried out for a relaxed structure of CaPRhN2.

Computed properties:
The calculation puts the volume at 79 Å³ per cell. Its total energy is -5.7544 eV/atom. As for the uncorrected formation energy: 2.6 eV per formula unit. As for the symmetry: P4/mmm, No. 123.

```
CaPRhN2
1.0
3.900 0.000 0.000
0.000 3.900 0.000
0.000 0.000 5.201
Ca P Rh N
1 1 1 2
Direct
0.000 0.000 0.000 Ca
0.500 0.500 0.000 P
0.500 0.500 0.500 Rh
0.000 0.500 0.500 N
0.500 0.000 0.500 N
```

---

Record 7
A plane-wave DFT calculation with PBE-GGA was carried out for a relaxed structure of CaPS2N.

Computed properties:
The calculation puts the volume at 84 Å³ per cell. Its total energy is -4.6825 eV/atom. The calculation puts the energy above the lowest structure with this stoichiometry at 444 meV per atom. As for the uncorrected formation energy: 0.6 eV per formula unit. As for the symmetry: P4/mmm, No. 123.

```
CaPS2N
1.0
4.872 0.000 0.000
0.000 4.872 0.000
0.000 0.000 3.553
Ca P S N
1 1 2 1
Direct
0.000 0.000 0.000 Ca
0.500 0.500 0.000 P
0.000 0.500 0.500 S
0.500 0.000 0.500 S
0.500 0.500 0.500 N
```

---

Record 8
A plane-wave DFT calculation with PBE-GGA was carried out for a relaxed structure of CaPS2N.

Computed properties:
The calculation puts the volume at 79 Å³ per cell. Its total energy is -5.1261 eV/atom. The calculation puts the energy above the lowest structure with this stoichiometry at 0 meV per atom. As for the uncorrected formation energy: -1.6 eV per formula unit. As for the symmetry: P4/mmm, No. 123.

```
CaPS2N
1.0
4.818 0.000 0.000
0.000 4.818 0.000
0.000 0.000 3.399
Ca P S N
1 1 2 1
Direct
0.000 0.000 0.000 Ca
0.500 0.500 0.500 P
0.000 0.500 0.500 S
0.500 0.000 0.500 S
0.500 0.500 0.000 N
```

---

Repeat the fourth record exactly.
A plane-wave DFT calculation with PBE-GGA was carried out for a relaxed structure of CaReP2N.

Computed properties:
The calculation puts the volume at 120 Å³ per cell. Its total energy is -3.3601 eV/atom. As for the uncorrected formation energy: 16.8 eV per formula unit. As for the symmetry: P4/mmm, No. 123.

```
CaReP2N
1.0
4.932 0.000 0.000
0.000 4.932 0.000
0.000 0.000 4.924
Ca Re P N
1 1 2 1
Direct
0.000 0.000 0.000 Ca
0.000 0.000 0.500 Re
0.000 0.500 0.000 P
0.500 0.000 0.000 P
0.500 0.500 0.500 N
```